[1]
First-principles (PBE) data for an optimized crystal structure of YHIO2, as listed in Alexandria.

## Properties
Symmetry: P4/mmm, No. 123
DOS(E_F) (states/eV per cell): 2.901

```
5
Lattice="-0.5411 -1.9529 -3.8939 4.1395 -1.4526 0.1533 -1.1008 -2.9639 1.6395" Properties=species:S:1:pos:R:3 pbc="T T T"
I -0.5504 -1.4820 0.8198
Y 1.2488 -3.1847 -1.0505
H 0.0000 0.0000 0.0000
O -0.2705 -0.9765 -1.9469
O 2.0697 -0.7263 0.0767
```

[2]
First-principles (PBE) data for an optimized crystal structure of ZnHI2O, as listed in Alexandria.

## Properties
Symmetry: P4/mmm, No. 123
DOS(E_F) (states/eV per cell): 5.654

```
5
Lattice="-3.1793 -0.4420 5.1377 1.7037 -5.7868 0.5564 2.2844 0.8152 1.4837" Properties=species:S:1:pos:R:3 pbc="T T T"
O 1.1422 0.4076 0.7419
I -1.5896 -0.2210 2.5688
I 0.8518 -2.8934 0.2782
H 0.0000 0.0000 0.0000
Zn 0.4044 -2.7068 3.5889
```

[3]
First-principles (PBE) data for an optimized crystal structure of ZnHIO2, as listed in Alexandria.

## Properties
Symmetry: P4/mmm, No. 123
DOS(E_F) (states/eV per cell): 2.495

```
5
Lattice="-2.3685 0.3263 -3.5429 2.0769 -3.3289 -1.6950 -2.3185 -2.1356 1.3533" Properties=species:S:1:pos:R:3 pbc="T T T"
O -1.1842 0.1631 -1.7714
O 1.0385 -1.6644 -0.8475
Zn -1.3050 -2.5691 -1.9423
I -1.1592 -1.0678 0.6766
H 0.0000 0.0000 0.0000
```

[4]
First-principles (PBE) data for an optimized crystal structure of ZnHIO2, as listed in Alexandria.

## Properties
Symmetry: P4/mmm, No. 123
DOS(E_F) (states/eV per cell): 6.045

```
5
Lattice="-0.5548 -0.5509 3.5698 -2.2667 -2.7589 -0.7780 5.7871 -4.7994 0.1588" Properties=species:S:1:pos:R:3 pbc="T T T"
O -1.1333 -1.3795 -0.3890
O -0.2774 -0.2754 1.7849
Zn 0.0000 0.0000 0.0000
I 2.8936 -2.3997 0.0794
H 1.4828 -4.0546 1.4753
```

[5]
First-principles (PBE) data for an optimized crystal structure of ZnHI2O, as listed in Alexandria.

## Properties
Symmetry: P4/mmm, No. 123
DOS(E_F) (states/eV per cell): 10.301

```
5
Lattice="6.8682 0.0000 0.0000 0.0000 6.8682 0.0000 0.0000 0.0000 3.4022" Properties=species:S:1:pos:R:3 pbc="T T T"
O 0.0000 0.0000 1.7011
I 3.4341 0.0000 0.0000
I 0.0000 3.4341 0.0000
H 3.4341 3.4341 1.7011
Zn 0.0000 0.0000 0.0000
```

[6]
First-principles (PBE) data for an optimized crystal structure of ZrHIO2, as listed in Alexandria.

## Properties
Symmetry: P4/mmm, No. 123
DOS(E_F) (states/eV per cell): 1.602

```
5
Lattice="-0.8979 -1.3011 3.7125 1.6769 -3.5713 -0.8461 5.5806 2.1242 2.0941" Properties=species:S:1:pos:R:3 pbc="T T T"
O -0.4489 -0.6506 1.8563
O 0.8384 -1.7857 -0.4230
Zr 0.0000 0.0000 0.0000
I 2.7903 1.0621 1.0471
H 3.1798 -1.3741 2.4803
```

[7]
First-principles (PBE) data for an optimized crystal structure of ZrHI2O, as listed in Alexandria.

## Properties
Symmetry: P4/mmm, No. 123

```
5
Lattice="5.8838 0.0000 0.0000 0.0000 5.8838 0.0000 0.0000 0.0000 4.0275" Properties=species:S:1:pos:R:3 pbc="T T T"
O 0.0000 0.0000 2.0138
H 2.9419 2.9419 2.0138
Zr 0.0000 0.0000 0.0000
I 2.9419 0.0000 0.0000
I 0.0000 2.9419 0.0000
```

[8]
First-principles (PBE) data for an optimized crystal structure of ZrHIO2, as listed in Alexandria.

## Properties
Symmetry: P4/mmm, No. 123
DOS(E_F) (states/eV per cell): 3.024

```
5
Lattice="-3.5292 2.0958 1.0438 0.2206 -1.5820 3.9224 1.9134 2.7276 0.9925" Properties=species:S:1:pos:R:3 pbc="T T T"
O -1.7646 1.0479 0.5219
O 0.1103 -0.7910 1.9612
H 0.0000 0.0000 0.0000
Zr -0.6976 1.6207 2.9794
I 0.9567 1.3638 0.4962
```

no.,total moment (μB/atom),energy above the lowest structure with this stoichiometry (meV/atom)
1,0.202,229
2,0.000,83
3,0.000,380
4,0.000,0
5,0.200,0
6,0.012,0
7,0.201,0
8,0.000,1047